Run i
# BaTiZn3 (PBE, relaxed)
data_BaTiZn3
_chemical_formula_sum 'Ba1 Ti1 Zn3'
_symmetry_space_group_name_H-M 'P m -3 m'
_symmetry_Int_Tables_number 221
_symmetry_space_group_name_Hall '-P 4 2 3'
_cell_length_a 5.708
_cell_length_b 5.708
_cell_length_c 5.708
_cell_angle_alpha 90.00
_cell_angle_beta 90.00
_cell_angle_gamma 90.00
loop_
_atom_site_label
_atom_site_type_symbol
_atom_site_fract_x
_atom_site_fract_y
_atom_site_fract_z
Ba1 Ba 0.000 0.000 0.000
Ti1 Ti 0.500 0.500 0.500
Zn1 Zn 0.000 0.000 0.500
# - D(E_F): 11.2 states/eV/cell
# - Magnetization: 0.0350 μB/atom

Run ii
# BaTiZn3 (PBE, relaxed)
data_BaTiZn3
_chemical_formula_sum 'Ba1 Ti1 Zn3'
_symmetry_space_group_name_H-M 'P m -3 m'
_symmetry_Int_Tables_number 221
_symmetry_space_group_name_Hall '-P 4 2 3'
_cell_length_a 5.166
_cell_length_b 5.166
_cell_length_c 5.166
_cell_angle_alpha 90.00
_cell_angle_beta 90.00
_cell_angle_gamma 90.00
loop_
_atom_site_label
_atom_site_type_symbol
_atom_site_fract_x
_atom_site_fract_y
_atom_site_fract_z
Ba1 Ba 0.000 0.000 0.000
Ti1 Ti 0.500 0.500 0.500
Zn1 Zn 0.000 0.500 0.500
# - D(E_F): 4.4 states/eV/cell
# - Magnetization: 0.6561 μB/atom

Of them, run i has the lowest stability.

Run i
# BaZr2Ti (PBE, relaxed)
data_BaZr2Ti
_chemical_formula_sum 'Ba4 Zr8 Ti4'
_symmetry_space_group_name_H-M 'I 41/a m d'
_symmetry_Int_Tables_number 141
_cell_length_a 7.397
_cell_length_b 7.397
_cell_length_c 11.713
_cell_angle_alpha 90.00
_cell_angle_beta 90.00
_cell_angle_gamma 90.00
loop_
_symmetry_equiv_pos_as_xyz
'x,y,z'
'-x,-y,-z'
'-y+1/4,x+3/4,z+1/4'
'y+1/4,-x+3/4,-z+1/4'
'-x+1/2,-y,z+1/2'
'x+1/2,y,-z+1/2'
'y+1/4,-x+1/4,z+3/4'
'-y+1/4,x+1/4,-z+3/4'
'x,-y,-z'
'-x,y,z'
'-y+1/4,-x+1/4,-z+3/4'
'y+1/4,x+1/4,z+3/4'
'-x+1/2,y,-z+1/2'
'x+1/2,-y,z+1/2'
'y+1/4,x+3/4,-z+1/4'
'-y+1/4,-x+3/4,z+1/4'
'x+1/2,y+1/2,z+1/2'
'-x+1/2,-y+1/2,-z+1/2'
'-y+3/4,x+1/4,z+3/4'
'y+3/4,-x+1/4,-z+3/4'
'-x,-y+1/2,z'
'x,y+1/2,-z'
'y+3/4,-x+3/4,z+1/4'
'-y+3/4,x+3/4,-z+1/4'
'x+1/2,-y+1/2,-z+1/2'
'-x+1/2,y+1/2,z+1/2'
'-y+3/4,-x+3/4,-z+1/4'
'y+3/4,x+3/4,z+1/4'
'-x,y+1/2,-z'
'x,-y+1/2,z'
'y+3/4,x+1/4,-z+3/4'
'-y+3/4,-x+1/4,z+3/4'
loop_
_atom_site_label
_atom_site_type_symbol
_atom_site_fract_x
_atom_site_fract_y
_atom_site_fract_z
Ba1 Ba 0.000 0.250 0.375
Zr1 Zr 0.000 0.000 0.000
Ti1 Ti 0.000 0.250 0.875
# - D(E_F): 7.8 states/eV/cell
# - Magnetization: 0.0000 μB/atom

Run ii
# BaZr2Ti (PBE, relaxed)
data_BaZr2Ti
_chemical_formula_sum 'Ba4 Zr8 Ti4'
_symmetry_space_group_name_H-M 'F m -3 m'
_symmetry_Int_Tables_number 225
_symmetry_space_group_name_Hall '-F 4 2 3'
_cell_length_a 7.471
_cell_length_b 7.471
_cell_length_c 7.471
_cell_angle_alpha 90.00
_cell_angle_beta 90.00
_cell_angle_gamma 90.00
loop_
_atom_site_label
_atom_site_type_symbol
_atom_site_fract_x
_atom_site_fract_y
_atom_site_fract_z
Ba1 Ba 0.000 0.000 0.000
Zr1 Zr 0.250 0.250 0.250
Ti1 Ti 0.000 0.000 0.500
# - D(E_F): 24.0 states/eV/cell
# - Magnetization: 0.9205 μB/atom

Of them, run i has the lowest stability.

Run i
# BaZrTi (PBE, relaxed)
data_BaZrTi
_chemical_formula_sum 'Ba2 Zr2 Ti2'
_symmetry_space_group_name_H-M 'P 3 m 1'
_symmetry_Int_Tables_number 156
_cell_length_a 4.7513
_cell_length_b 4.7513
_cell_length_c 11.3210
_cell_angle_alpha 90.00
_cell_angle_beta 90.00
_cell_angle_gamma 120.00
loop_
_symmetry_equiv_pos_as_xyz
'x,y,z'
'-y,x-y,z'
'-x+y,-x,z'
'-y,-x,z'
'-x+y,y,z'
'x,x-y,z'
loop_
_atom_site_label
_atom_site_type_symbol
_atom_site_fract_x
_atom_site_fract_y
_atom_site_fract_z
Ba1 Ba 0.0000 0.0000 0.0000
Ba2 Ba 0.3333 0.6667 0.3403
Zr1 Zr 0.3333 0.6667 0.6917
Zr2 Zr 0.6667 0.3333 0.5577
Ti1 Ti 0.0000 0.0000 0.6768
Ti2 Ti 0.6667 0.3333 0.7893
# - D(E_F): 7.7 states/eV/cell
# - Magnetization: 0.0874 μB/atom

Run ii
# BaZrTi (PBE, relaxed)
data_BaZrTi
_chemical_formula_sum 'Ba2 Zr2 Ti2'
_symmetry_space_group_name_H-M 'I 4 m m'
_symmetry_Int_Tables_number 107
_symmetry_space_group_name_Hall 'I 4 -2'
_cell_length_a 3.246
_cell_length_b 3.246
_cell_length_c 16.262
_cell_angle_alpha 90.00
_cell_angle_beta 90.00
_cell_angle_gamma 90.00
loop_
_atom_site_label
_atom_site_type_symbol
_atom_site_fract_x
_atom_site_fract_y
_atom_site_fract_z
Ba1 Ba 0.000 0.000 0.000
Zr1 Zr 0.000 0.000 0.700
Ti1 Ti 0.000 0.000 0.314
# - D(E_F): 5.0 states/eV/cell
# - Magnetization: 0.0000 μB/atom

Run iii
# BaZrTi (PBE, relaxed)
data_BaZrTi
_chemical_formula_sum 'Ba2 Zr2 Ti2'
_symmetry_space_group_name_H-M 'P 1'
_symmetry_Int_Tables_number 1
_cell_length_a 4.164
_cell_length_b 4.166
_cell_length_c 12.528
_cell_angle_alpha 99.54
_cell_angle_beta 90.02
_cell_angle_gamma 90.00
loop_
_symmetry_equiv_pos_as_xyz
'x,y,z'
loop_
_atom_site_label
_atom_site_type_symbol
_atom_site_fract_x
_atom_site_fract_y
_atom_site_fract_z
Ba1 Ba 0.000 0.000 0.000
Ba2 Ba 0.497 0.648 0.304
Zr1 Zr 0.496 0.861 0.728
Zr2 Zr 0.996 0.361 0.727
Ti1 Ti 0.495 0.278 0.562
Ti2 Ti 0.995 0.779 0.562
# - D(E_F): 6.7 states/eV/cell
# - Magnetization: 0.0000 μB/atom

Of them, run ii has the lowest stability.

Run i
# BaZr3Ti (PBE, relaxed)
data_BaZr3Ti
_chemical_formula_sum 'Ba1 Zr3 Ti1'
_symmetry_space_group_name_H-M 'P m -3 m'
_symmetry_Int_Tables_number 221
_symmetry_space_group_name_Hall '-P 4 2 3'
_cell_length_a 5.242
_cell_length_b 5.242
_cell_length_c 5.242
_cell_angle_alpha 90.00
_cell_angle_beta 90.00
_cell_angle_gamma 90.00
loop_
_atom_site_label
_atom_site_type_symbol
_atom_site_fract_x
_atom_site_fract_y
_atom_site_fract_z
Ba1 Ba 0.000 0.000 0.000
Zr1 Zr 0.000 0.000 0.500
Ti1 Ti 0.500 0.500 0.500
# - D(E_F): 11.6 states/eV/cell
# - Magnetization: 0.0001 μB/atom

Run ii
# BaZr3Ti (PBE, relaxed)
data_BaZr3Ti
_chemical_formula_sum 'Ba1 Zr3 Ti1'
_symmetry_space_group_name_H-M 'P m -3 m'
_symmetry_Int_Tables_number 221
_symmetry_space_group_name_Hall '-P 4 2 3'
_cell_length_a 5.247
_cell_length_b 5.247
_cell_length_c 5.247
_cell_angle_alpha 90.00
_cell_angle_beta 90.00
_cell_angle_gamma 90.00
loop_
_atom_site_label
_atom_site_type_symbol
_atom_site_fract_x
_atom_site_fract_y
_atom_site_fract_z
Ba1 Ba 0.000 0.000 0.000
Zr1 Zr 0.000 0.500 0.500
Ti1 Ti 0.500 0.500 0.500
# - D(E_F): 8.3 states/eV/cell
# - Magnetization: 0.0000 μB/atom

Of them, run i has the lowest stability.